[1]
The following is a GGA-PBE calculation of an optimized crystal structure of CsTaNO, from OQMD via LeMat-Bulk.

V   21.23 Å³ per atom
Calculated density   6.7 g cm⁻³
Relative energy among the computed polymorphs   0.106 eV per atom
SG   Pmc2_1, No. 26
E   -31.15 eV/f.u.

The structure in extended XYZ format:
```
8
Lattice="3.7217 0.0000 0.0000 0.0000 6.3780 0.0000 0.0000 0.0002 7.1561" Properties=species:S:1:pos:R:3 pbc="T T T"
Cs 1.8609 0.0022 1.2410
Cs 1.8609 3.1912 5.9150
N 0.0000 4.8226 3.5225
N 0.0000 1.6336 3.6336
O 1.8609 3.1773 1.8225
O 1.8609 6.3664 5.3336
Ta 0.0000 3.1855 2.5159
Ta 0.0000 6.3744 4.6401
```

[2]
The following is a GGA-PBE calculation of an optimized crystal structure of Zr4SiAuC2, from OQMD via LeMat-Bulk.

V   16.76 Å³ per atom
Calculated density   7.6 g cm⁻³
SG   P-6m2, No. 187
E   -66.97 eV/f.u.

The structure in extended XYZ format:
```
8
Lattice="3.3342 0.0000 0.0000 -1.6671 2.8875 0.0000 0.0000 0.0000 13.9287" Properties=species:S:1:pos:R:3 pbc="T T T"
Au 0.0000 1.9250 0.0000
C 0.0000 0.0000 3.5623
C 0.0000 0.0000 10.3664
Si 1.6671 0.9625 6.9643
Zr 1.6671 0.9625 2.2735
Zr 0.0000 1.9250 4.8592
Zr 0.0000 1.9250 9.0695
Zr 1.6671 0.9625 11.6552
```

[3]
The following is a GGA-PBE calculation of an optimized crystal structure of AsIrPdO, from OQMD via LeMat-Bulk.

V   16.49 Å³ per atom
Calculated density   9.8 g cm⁻³
Relative energy among the computed polymorphs   0.046 eV per atom
SG   Pmc2_1, No. 26
E   -24.29 eV/f.u.

The structure in extended XYZ format:
```
8
Lattice="-0.3448 3.4430 -0.3551 -1.4130 0.4470 5.7056 6.2149 0.7748 1.4784" Properties=species:S:1:pos:R:3 pbc="T T T"
As 2.0431 0.4377 2.2598
As 4.5672 1.0096 5.3544
Ir -1.3439 2.1666 5.2746
Ir 3.0312 2.1530 0.8953
O 0.5726 2.3210 4.9110
O 4.5643 2.4286 2.0795
Pd -0.2790 0.1614 1.8353
Pd 2.3050 0.7144 4.6884
```

[4]
The following is a GGA-PBE calculation of an optimized crystal structure of NdDyCo2Sn4, from OQMD via LeMat-Bulk.

V   22.56 Å³ per atom
Calculated density   8.3 g cm⁻³
SG   Amm2, No. 38
E   -43.00 eV/f.u.

The structure in extended XYZ format:
```
8
Lattice="4.5009 0.0000 0.0000 0.0000 2.2080 9.0797 0.0000 -2.2080 9.0797" Properties=species:S:1:pos:R:3 pbc="T T T"
Co 2.2504 0.0000 3.2883
Co 0.0000 0.0000 14.8610
Dy 0.0000 0.0000 11.1297
Nd 2.2504 0.0000 7.0576
Sn 2.2504 0.0000 0.8815
Sn 0.0000 0.0000 4.5026
Sn 2.2504 0.0000 13.6215
Sn 0.0000 0.0000 17.2957
```

Question: Number 2 is which compound?
Answer: Zr4SiAuC2

Question: The lowest calculated density belongs to which entry?
Answer: CsTaNO